Record 1
Computed, not measured: a relaxed Sm2MgC crystal at the GGA-PBE level of DFT.

SG: R3m
magnetization: 0.00 μB per formula unit
density: 5.559 Mg/m³
energy of formation: -0.117 eV/atom
uncorrected energy: -20.72 eV/cell
volume: 100.7 Å³/cell

The structure in POSCAR format:
```
Sm2MgC
1.0
3.554 -0.002 -0.670
-1.841 3.113 -0.005
-0.113 -0.058 9.131
Sm C Mg
2 1 1
direct
0.771 0.386 0.157 Sm
0.228 0.614 0.842 Sm
0.000 0.000 0.999 C
0.668 0.834 0.502 Mg
```



Record 2
Computed, not measured: a relaxed CaAc3 crystal at the GGA-PBE level of DFT.

SG: P6_3/mmc
magnetization: 0.00 μB per formula unit
density: 6.732 Mg/m³
energy of formation: 0.049 eV/atom
uncorrected energy: -28.27 eV/cell
volume: 355.7 Å³/cell

The structure in POSCAR format:
```
CaAc3
1.0
4.005 -6.936 0.000
4.005 6.936 0.000
0.000 0.000 6.403
Ca Ac
2 6
direct
0.667 0.333 0.250 Ca
0.333 0.667 0.750 Ca
0.167 0.833 0.250 Ac
0.833 0.666 0.750 Ac
0.833 0.167 0.750 Ac
0.666 0.833 0.250 Ac
0.167 0.334 0.250 Ac
0.334 0.167 0.750 Ac
```



Record 3
Computed, not measured: a relaxed SiC2N6F6 crystal at the GGA-PBE level of DFT.

SG: C2/m
distance to the lowest polymorph of the same formula: 256.2 meV per atom
magnetization: 8.02 μB per formula unit
density: 1.909 Mg/m³
uncorrected energy: -83.30 eV/cell
volume: 217.6 Å³/cell
E_form (uncorrected): 0.117 eV per atom

The structure in POSCAR format:
```
SiC2N6F6
1.0
3.609 5.571 0.014
-3.609 5.571 0.014
0.000 2.422 5.417
F C N Si
6 2 6 1
direct
0.148 0.810 0.312 F
0.163 0.163 0.321 F
0.852 0.190 0.688 F
0.837 0.837 0.679 F
0.810 0.148 0.312 F
0.190 0.852 0.688 F
0.751 0.751 0.233 C
0.249 0.249 0.767 C
0.643 0.976 0.221 N
0.628 0.628 0.249 N
0.357 0.024 0.779 N
0.976 0.643 0.221 N
0.372 0.372 0.751 N
0.024 0.357 0.779 N
0.000 0.000 0.500 Si
```



Record 4
Computed, not measured: a relaxed CuHgSe2 crystal at the GGA-PBE level of DFT.

SG: Cmcm
magnetization: 0.00 μB per formula unit
density: 7.335 Mg/m³
uncorrected energy: -22.33 eV/cell
volume: 191.1 Å³/cell
E_form (uncorrected): 0.051 eV per atom

The structure in POSCAR format:
```
CuHgSe2
1.0
0.380 4.595 10.208
-1.810 -1.224 -10.985
-4.247 -1.600 0.878
Hg Se Cu
2 4 2
direct
0.679 0.321 0.750 Hg
0.321 0.679 0.250 Hg
0.826 0.174 0.750 Se
0.042 0.958 0.750 Se
0.958 0.042 0.250 Se
0.174 0.826 0.250 Se
0.934 0.066 0.750 Cu
0.066 0.934 0.250 Cu
```



Record 5
Computed, not measured: a relaxed NiPdS3 crystal at the GGA-PBE level of DFT.

SG: Cmcm
distance to the lowest polymorph of the same formula: 0.0 meV per atom
magnetization: 0.00 μB per formula unit
density: 4.219 Mg/m³
uncorrected energy: -47.67 eV/cell
volume: 205.7 Å³/cell
E_form (uncorrected): -0.095 eV per atom

The structure in POSCAR format:
```
NiPdS3
1.0
-2.708 -1.485 -1.460
3.765 -5.725 -1.159
-1.069 -2.410 8.430
Ni S Pd
2 6 2
direct
0.620 0.250 0.241 Ni
0.380 0.750 0.759 Ni
0.853 0.556 0.706 S
0.853 0.944 0.706 S
0.505 0.750 0.010 S
0.495 0.250 0.990 S
0.147 0.444 0.294 S
0.147 0.056 0.294 S
0.093 0.750 0.186 Pd
0.907 0.250 0.814 Pd
```



Record 6
Computed, not measured: a relaxed MnPBr3 crystal at the GGA-PBE level of DFT.

SG: Pm-3m
distance to the lowest polymorph of the same formula: 0.0 meV per atom
magnetization: 5.72 μB per formula unit
density: 3.838 Mg/m³
uncorrected energy: -17.87 eV/cell
volume: 140.9 Å³/cell
E_form (uncorrected): 0.346 eV per atom

The structure in POSCAR format:
```
MnPBr3
1.0
-1.580 3.578 3.432
-3.867 1.365 -3.203
-3.103 -3.523 2.244
P Mn Br
1 1 3
direct
0.000 0.000 0.000 P
0.500 0.500 0.500 Mn
0.500 0.000 0.000 Br
0.000 0.500 0.000 Br
0.000 0.000 0.500 Br
```



Record 7
Computed, not measured: a relaxed YTc2Sb crystal at the GGA-PBE level of DFT.

SG: Pmm2
magnetization: 0.00 μB per formula unit
density: 8.827 Mg/m³
uncorrected energy: -30.89 eV/cell
volume: 76.5 Å³/cell
E_form (uncorrected): 0.108 eV per atom

The structure in POSCAR format:
```
YTc2Sb
1.0
3.154 0.000 0.000
0.000 4.229 0.000
0.000 0.000 5.736
Tc Sb Y
2 1 1
direct
0.000 0.000 0.019 Tc
0.500 0.500 0.225 Tc
0.500 0.500 0.771 Sb
0.000 0.000 0.485 Y
```



Record 8
Computed, not measured: a relaxed Cs3RbAs crystal at the GGA-PBE level of DFT.

SG: Pm-3m
distance to the lowest polymorph of the same formula: 0.0 meV per atom
magnetization: 0.00 μB per formula unit
density: 2.402 Mg/m³
energy of formation: -0.080 eV/atom
uncorrected energy: -8.58 eV/cell
volume: 386.6 Å³/cell

The structure in POSCAR format:
```
Cs3RbAs
1.0
7.285 0.000 0.000
0.000 7.285 0.000
0.000 0.000 7.285
Cs Rb As
3 1 1
direct
0.500 0.000 0.000 Cs
0.000 0.500 0.000 Cs
0.000 0.000 0.500 Cs
0.500 0.500 0.500 Rb
0.000 0.000 0.000 As
```



Record 9
Computed, not measured: a relaxed Ac8Os3Br4Cl crystal at the GGA-PBE level of DFT.

SG: R-3m
magnetization: 0.00 μB per formula unit
density: 8.200 Mg/m³
uncorrected energy: -89.53 eV/cell
volume: 555.2 Å³/cell
E_form (uncorrected): -0.902 eV per atom

The structure in POSCAR format:
```
Ac8Os3Br4Cl
1.0
8.848 0.000 0.000
0.000 9.639 0.553
-4.424 -4.422 6.256
Br Ac Os Cl
4 8 3 1
direct
0.000 0.000 0.500 Br
0.500 0.000 0.000 Br
0.500 0.000 0.500 Br
0.000 0.000 0.000 Br
0.245 0.697 0.952 Ac
0.245 0.696 0.489 Ac
0.293 0.303 0.048 Ac
0.268 0.303 0.535 Ac
0.707 0.697 0.952 Ac
0.755 0.303 0.048 Ac
0.755 0.304 0.511 Ac
0.732 0.697 0.465 Ac
0.500 0.500 0.500 Os
0.000 0.500 0.500 Os
0.500 0.500 0.000 Os
0.000 0.500 0.000 Cl
```



Record 10
Computed, not measured: a relaxed KCuAg2 crystal at the GGA-PBE level of DFT.

SG: Immm
distance to the lowest polymorph of the same formula: 22.5 meV per atom
magnetization: 0.00 μB per formula unit
density: 6.052 Mg/m³
energy of formation: 0.253 eV/atom
uncorrected energy: -9.88 eV/cell
volume: 87.4 Å³/cell

The structure in POSCAR format:
```
KCuAg2
1.0
6.271 0.014 0.017
3.198 5.394 -0.017
-3.895 -4.174 2.595
K Ag Cu
1 2 1
direct
0.250 0.750 0.500 K
0.546 0.546 0.000 Ag
0.954 0.954 0.000 Ag
0.750 0.250 0.500 Cu
```



Record 11
Computed, not measured: a relaxed Y4HoTmS8 crystal at the GGA-PBE level of DFT.

SG: R3m
magnetization: 0.00 μB per formula unit
density: 4.285 Mg/m³
uncorrected energy: -95.05 eV/cell
volume: 366.6 Å³/cell
E_form (uncorrected): -1.937 eV per atom

The structure in POSCAR format:
```
Y4HoTmS8
1.0
-4.237 4.809 4.846
0.996 -0.432 7.961
3.655 5.981 3.922
Ho Y S Tm
1 4 8 1
direct
0.000 0.000 0.999 Ho
0.000 0.000 0.500 Y
0.499 0.000 0.500 Y
0.000 0.499 0.500 Y
0.625 0.625 0.126 Y
0.226 0.759 0.256 S
0.769 0.243 0.746 S
0.243 0.769 0.746 S
0.243 0.243 0.746 S
0.244 0.244 0.267 S
0.757 0.757 0.728 S
0.759 0.759 0.256 S
0.759 0.226 0.256 S
0.375 0.375 0.875 Tm
```



Record 12
Computed, not measured: a relaxed SrTl2GeBr6 crystal at the GGA-PBE level of DFT.

SG: R3
magnetization: 0.00 μB per formula unit
density: 4.684 Mg/m³
uncorrected energy: -32.35 eV/cell
volume: 371.7 Å³/cell
E_form (uncorrected): -1.129 eV per atom

The structure in POSCAR format:
```
SrTl2GeBr6
1.0
-2.212 -4.411 6.294
-3.205 -7.241 -1.120
4.312 -6.627 1.952
Br Tl Ge Sr
6 2 1 1
direct
0.467 0.654 0.780 Br
0.987 0.576 0.263 Br
0.099 0.467 0.780 Br
0.576 0.174 0.263 Br
0.174 0.987 0.263 Br
0.654 0.099 0.780 Br
0.532 0.532 0.403 Tl
0.033 0.033 0.902 Tl
0.321 0.321 0.039 Ge
0.819 0.819 0.544 Sr
```



Record 13
Computed, not measured: a relaxed AlNi2B crystal at the GGA-PBE level of DFT.

SG: P4/mmm
distance to the lowest polymorph of the same formula: 160.9 meV per atom
magnetization: 0.00 μB per formula unit
density: 6.419 Mg/m³
energy of formation: -0.119 eV/atom
uncorrected energy: -22.46 eV/cell
volume: 40.1 Å³/cell

The structure in POSCAR format:
```
AlNi2B
1.0
-0.875 3.087 0.200
-3.272 -0.862 -1.019
-0.925 -0.481 3.376
B Al Ni
1 1 2
direct
0.500 0.000 0.000 B
0.500 0.500 0.500 Al
0.000 0.000 0.500 Ni
0.000 0.500 0.000 Ni
```



Record 14
Computed, not measured: a relaxed RbPu4Ni3S12 crystal at the GGA-PBE level of DFT.

SG: Im-3
magnetization: 14.99 μB per formula unit
density: 6.009 Mg/m³
uncorrected energy: -142.95 eV/cell
volume: 448.3 Å³/cell
E_form (uncorrected): -0.889 eV per atom

The structure in POSCAR format:
```
RbPu4Ni3S12
1.0
8.351 0.000 0.000
-2.784 7.873 0.000
-2.784 -3.937 6.818
S Ni Pu Rb
12 3 4 1
direct
0.510 0.669 0.842 S
0.331 0.158 0.490 S
0.669 0.842 0.510 S
0.842 0.173 0.331 S
0.669 0.158 0.827 S
0.158 0.490 0.331 S
0.173 0.331 0.842 S
0.490 0.331 0.158 S
0.842 0.510 0.669 S
0.331 0.842 0.173 S
0.158 0.827 0.669 S
0.827 0.669 0.158 S
0.000 0.500 0.500 Ni
0.500 0.500 0.000 Ni
0.500 0.000 0.500 Ni
0.500 0.000 0.000 Pu
0.000 0.000 0.500 Pu
0.500 0.500 0.500 Pu
0.000 0.500 0.000 Pu
0.000 0.000 0.000 Rb
```



Record 15
Computed, not measured: a relaxed CsKPb2I6 crystal at the GGA-PBE level of DFT.

SG: R3
magnetization: 0.00 μB per formula unit
density: 4.506 Mg/m³
uncorrected energy: -28.53 eV/cell
volume: 496.8 Å³/cell
E_form (uncorrected): -0.986 eV per atom

The structure in POSCAR format:
```
CsKPb2I6
1.0
-5.222 -6.649 -2.552
0.706 -3.285 -8.167
3.495 -8.152 -1.194
I Cs Pb K
6 1 2 1
direct
0.334 0.747 0.730 I
0.866 0.656 0.224 I
0.253 0.866 0.224 I
0.656 0.253 0.224 I
0.189 0.334 0.730 I
0.747 0.189 0.729 I
0.785 0.785 0.645 Cs
0.011 0.011 0.968 Pb
0.516 0.516 0.453 Pb
0.304 0.304 0.088 K
```



Record 16
Computed, not measured: a relaxed Fe2SiHIr crystal at the GGA-PBE level of DFT.

SG: P4/mmm
magnetization: 3.98 μB per formula unit
density: 10.697 Mg/m³
uncorrected energy: -35.26 eV/cell
volume: 51.7 Å³/cell

The structure in POSCAR format:
```
Fe2SiHIr
1.0
-2.213 -2.792 0.614
0.786 -1.340 -3.264
3.007 -2.041 1.561
Fe Ir Si H
2 1 1 1
direct
0.000 0.500 0.000 Fe
0.500 0.000 0.000 Fe
0.000 0.000 0.500 Ir
0.500 0.500 0.500 Si
0.000 0.000 0.000 H
```



Record 17
Computed, not measured: a relaxed ZrCo2Se crystal at the GGA-PBE level of DFT.

SG: P4/mmm
magnetization: 1.02 μB per formula unit
density: 8.240 Mg/m³
uncorrected energy: -26.80 eV/cell
volume: 58.0 Å³/cell
E_form (uncorrected): -0.139 eV per atom

The structure in POSCAR format:
```
ZrCo2Se
1.0
3.951 0.000 0.000
0.000 3.946 0.000
0.000 0.000 3.723
Zr Co Se
1 2 1
direct
0.000 0.500 0.500 Zr
0.500 0.500 0.000 Co
0.000 0.000 0.000 Co
0.500 0.000 0.500 Se
```



Record 18
Computed, not measured: a relaxed HgIr2Br crystal at the GGA-PBE level of DFT.

SG: F-43m
distance to the lowest polymorph of the same formula: 723.4 meV per atom
magnetization: 1.14 μB per formula unit
density: 15.178 Mg/m³
uncorrected energy: -15.12 eV/cell
volume: 72.7 Å³/cell
E_form (uncorrected): 1.145 eV per atom

The structure in POSCAR format:
```
HgIr2Br
1.0
-1.817 1.788 3.932
1.788 -1.196 4.163
2.434 3.134 2.492
Br Hg Ir
1 1 2
direct
0.500 0.500 0.500 Br
0.750 0.750 0.750 Hg
0.250 0.250 0.250 Ir
0.000 0.000 0.000 Ir
```



Record 19
Computed, not measured: a relaxed Sc2AgIr crystal at the GGA-PBE level of DFT.

SG: Fm-3m
distance to the lowest polymorph of the same formula: 8.1 meV per atom
magnetization: 0.00 μB per formula unit
density: 8.864 Mg/m³
energy of formation: -0.658 eV/atom
uncorrected energy: -27.01 eV/cell
volume: 73.1 Å³/cell

The structure in POSCAR format:
```
Sc2AgIr
1.0
0.095 -4.557 1.114
-3.678 -1.967 2.149
-2.722 -3.039 -2.318
Sc Ag Ir
2 1 1
direct
0.250 0.250 0.250 Sc
0.750 0.750 0.750 Sc
0.000 0.000 0.000 Ag
0.500 0.500 0.500 Ir
```



Record 20
Computed, not measured: a relaxed KU3Ni4S12 crystal at the GGA-PBE level of DFT.

SG: R32
magnetization: 4.03 μB per formula unit
density: 4.424 Mg/m³
uncorrected energy: -121.17 eV/cell
volume: 515.2 Å³/cell
E_form (uncorrected): -0.678 eV per atom

The structure in POSCAR format:
```
KU3Ni4S12
1.0
8.393 -0.091 -0.127
-2.111 8.124 -0.127
-2.111 -2.699 7.663
S Ni U K
12 4 3 1
direct
0.907 0.500 0.093 S
0.659 0.500 0.341 S
0.341 0.659 0.500 S
0.032 0.635 0.752 S
0.500 0.093 0.907 S
0.248 0.365 0.968 S
0.365 0.968 0.248 S
0.968 0.248 0.365 S
0.500 0.341 0.659 S
0.093 0.907 0.500 S
0.635 0.752 0.032 S
0.752 0.032 0.635 S
0.932 0.068 0.500 Ni
0.500 0.932 0.068 Ni
0.500 0.500 0.500 Ni
0.068 0.500 0.932 Ni
0.436 0.000 0.564 U
0.000 0.564 0.436 U
0.564 0.436 0.000 U
0.000 0.000 0.000 K
```



Record 21
Computed, not measured: a relaxed V3CoC crystal at the GGA-PBE level of DFT.

SG: C2/m
distance to the lowest polymorph of the same formula: 0.0 meV per atom
magnetization: 1.52 μB per formula unit
density: 6.403 Mg/m³
energy of formation: -0.241 eV/atom
uncorrected energy: -89.78 eV/cell
volume: 116.1 Å³/cell

The structure in POSCAR format:
```
V3CoC
1.0
4.090 0.000 0.000
2.045 4.532 0.040
2.045 1.679 6.276
C Co V
2 2 6
direct
0.875 0.323 0.927 C
0.125 0.677 0.073 C
0.625 0.204 0.546 Co
0.375 0.796 0.454 Co
0.112 0.986 0.791 V
0.634 0.653 0.079 V
0.888 0.014 0.209 V
0.366 0.347 0.921 V
0.137 0.371 0.355 V
0.863 0.629 0.645 V
```



Record 22
Computed, not measured: a relaxed Sr3Pa3PdN8 crystal at the GGA-PBE level of DFT.

SG: C2/m
magnetization: 0.00 μB per formula unit
density: 7.644 Mg/m³
uncorrected energy: -120.16 eV/cell
volume: 255.1 Å³/cell
E_form (uncorrected): -0.989 eV per atom

The structure in POSCAR format:
```
Sr3Pa3PdN8
1.0
-7.042 -0.498 0.231
3.900 -5.687 -1.340
0.018 2.832 6.651
N Sr Pd Pa
8 3 1 3
direct
0.264 0.528 0.292 N
0.241 0.951 0.695 N
0.710 0.951 0.695 N
0.759 0.049 0.305 N
0.776 0.551 0.318 N
0.224 0.449 0.682 N
0.736 0.472 0.708 N
0.290 0.049 0.305 N
0.000 0.000 0.000 Sr
0.000 0.500 0.000 Sr
0.500 0.500 0.000 Sr
0.000 0.000 0.500 Pd
0.500 0.500 0.500 Pa
0.500 0.000 0.500 Pa
0.000 0.500 0.500 Pa
```



Record 23
Computed, not measured: a relaxed Tm8Al3Ge2 crystal at the GGA-PBE level of DFT.

SG: Cmmm
magnetization: 0.00 μB per formula unit
density: 7.948 Mg/m³
energy of formation: -0.295 eV/atom
uncorrected energy: -60.07 eV/cell
volume: 329.6 Å³/cell

The structure in POSCAR format:
```
Tm8Al3Ge2
1.0
5.137 0.000 0.735
0.000 8.432 0.000
-1.066 -4.216 7.458
Ge Tm Al
2 8 3
direct
0.500 0.226 0.453 Ge
0.500 0.774 0.547 Ge
0.000 0.893 0.786 Tm
0.500 0.837 0.241 Tm
0.500 0.163 0.759 Tm
0.000 0.107 0.214 Tm
0.500 0.595 0.759 Tm
0.000 0.684 0.368 Tm
0.500 0.405 0.241 Tm
0.000 0.316 0.632 Tm
0.000 0.673 0.000 Al
0.500 0.000 0.000 Al
0.000 0.327 0.000 Al
```